[1]
Entry from Alexandria: crystalline Ta5C3 at its relaxed geometry (PBE-GGA).

a = 6.800 Å, b = 6.791 Å, c = 8.806 Å
α = 49.66°, β = 49.57°, γ = 80.77°
Sites, in units of the cell vectors:
Ta1 0.000 0.000 0.000
Ta2 0.046 0.460 0.171
Ta3 0.173 0.325 0.458
Ta4 0.325 0.173 0.044
Ta5 0.460 0.046 0.323
Ta6 0.499 0.499 0.501
Ta7 0.542 0.956 0.827
Ta8 0.677 0.829 0.540
Ta9 0.829 0.677 0.954
Ta10 0.956 0.542 0.675
C1 0.000 0.000 0.500
C2 0.063 0.717 0.283
C3 0.284 0.939 0.716
C4 0.500 0.500 0.000
C5 0.717 0.063 0.937
C6 0.939 0.284 0.061

Calculated values
Symmetry: Fmm2, No. 42
DFT formation energy in eV/atom: 0.062
Offset from the most stable computed form in meV/atom: 0
Crystal system: orthorhombic

[2]
Entry from Alexandria: crystalline LiBeMo2 at its relaxed geometry (PBE-GGA).

a = 9.311 Å, b = 9.311 Å, c = 9.311 Å
α = 16.59°, β = 16.59°, γ = 16.59°
Sites, in units of the cell vectors:
Li1 0.000 0.000 0.000
Be1 0.500 0.500 0.500
Mo1 0.243 0.243 0.243
Mo2 0.757 0.757 0.757

Calculated values
Symmetry: R-3m, No. 166
DFT formation energy in eV/atom: 0.440
Offset from the most stable computed form in meV/atom: 206
Crystal system: trigonal

[3]
Entry from Alexandria: crystalline CaBe2HgGe at its relaxed geometry (PBE-GGA).

a = 4.507 Å, b = 4.507 Å, c = 5.676 Å
α = 90.00°, β = 90.00°, γ = 90.00°
Sites, in units of the cell vectors:
Ca1 0.000 0.000 0.000
Be1 0.000 0.500 0.500
Be2 0.500 0.000 0.500
Hg1 0.000 0.000 0.500
Ge1 0.500 0.500 0.000

Calculated values
Symmetry: P4/mmm, No. 123
DFT formation energy in eV/atom: 0.591
Crystal system: tetragonal

[4]
Entry from Alexandria: crystalline ScAlTeI2 at its relaxed geometry (PBE-GGA).

a = 5.775 Å, b = 5.775 Å, c = 5.617 Å
α = 90.00°, β = 90.00°, γ = 90.00°
Sites, in units of the cell vectors:
Sc1 0.000 0.000 0.000
Al1 0.500 0.500 0.500
Te1 0.000 0.000 0.500
I1 0.000 0.500 0.000
I2 0.500 0.000 0.000

Calculated values
Symmetry: P4/mmm, No. 123
Offset from the most stable computed form in meV/atom: 0
Crystal system: tetragonal
E_form (uncorrected) in eV/f.u.: -2.2

Number 1: uncorrected energy -10.81 eV per atom, M_tot 0.00 μB per atom, D(E_F) 7.88 states/eV per cell. Number 2: uncorrected energy -6.39 eV per atom, M_tot 0.00 μB per atom, D(E_F) 4.30 states/eV per cell. Number 3: uncorrected energy -2.28 eV per atom, M_tot 0.00 μB per atom, D(E_F) 1.93 states/eV per cell. Number 4: uncorrected energy -3.70 eV per atom, M_tot 0.00 μB per atom, D(E_F) 0.01 states/eV per cell.